# ZrSc3Pd2

A geometry-optimized ZrSc3Pd2 structure (GGA-PBE, Alexandria via LeMat-Bulk). Values from VASP.

Geometry as Quantum ESPRESSO input:
```
&SYSTEM
  ibrav = 0, nat = 6, ntyp = 3
/
ATOMIC_SPECIES
Sc 44.96 Sc.upf
Pd 106.42 Pd.upf
Zr 91.22 Zr.upf
CELL_PARAMETERS angstrom
3.302 0.000 0.000
0.000 3.302 0.000
0.000 0.000 10.932
ATOMIC_POSITIONS crystal
Sc 0.000 0.000 0.304
Sc 0.000 0.000 0.696
Sc 0.000 0.000 0.000
Pd 0.500 0.500 0.148
Pd 0.500 0.500 0.852
Zr 0.500 0.500 0.500
```

Summary:
symmetry = No. 123
density of states at the Fermi level = 0.84 states/eV per atom
energy of formation = -596 meV per atom
total energy = -41.51 eV for the cell shown
ρ = 6117 kg/m³
crystal system = tetragonal

# Tm4OsPd

A geometry-optimized Tm4OsPd structure (GGA-PBE, Alexandria via LeMat-Bulk). Values from VASP.

Geometry as Quantum ESPRESSO input:
```
&SYSTEM
  ibrav = 0, nat = 12, ntyp = 3
/
ATOMIC_SPECIES
Tm 168.93 Tm.upf
Os 190.23 Os.upf
Pd 106.42 Pd.upf
CELL_PARAMETERS angstrom
-4.011 -4.689 0.786
7.225 -2.901 0.596
-1.319 5.250 5.627
ATOMIC_POSITIONS crystal
Tm 0.278 0.767 0.639
Tm 0.907 0.051 0.704
Tm 0.093 0.949 0.296
Tm 0.778 0.639 0.767
Tm 0.722 0.233 0.361
Tm 0.407 0.704 0.051
Tm 0.222 0.361 0.233
Tm 0.593 0.296 0.949
Os 0.750 0.999 0.001
Os 0.250 0.001 0.999
Pd 0.750 0.637 0.363
Pd 0.250 0.363 0.637
```

Summary:
symmetry = No. 15
energy above the lowest structure with this stoichiometry = 0.0 meV per atom
density of states at the Fermi level = 0.89 states/eV per atom
energy of formation = -510 meV per atom
total energy = -74.74 eV for the cell shown
ρ = 10794 kg/m³
crystal system = monoclinic

# Ba3NdHg4

A geometry-optimized Ba3NdHg4 structure (GGA-PBE, Alexandria via LeMat-Bulk). Values from VASP.

Geometry as Quantum ESPRESSO input:
```
&SYSTEM
  ibrav = 0, nat = 8, ntyp = 3
/
ATOMIC_SPECIES
Hg 200.59 Hg.upf
Ba 137.33 Ba.upf
Nd 144.24 Nd.upf
CELL_PARAMETERS angstrom
4.072 0.000 0.000
0.000 4.072 0.000
0.000 0.000 16.682
ATOMIC_POSITIONS crystal
Hg 0.000 0.000 0.898
Hg 0.000 0.000 0.102
Hg 0.000 0.000 0.370
Hg 0.000 0.000 0.630
Ba 0.500 0.500 0.761
Ba 0.500 0.500 0.239
Ba 0.500 0.500 0.500
Nd 0.500 0.500 0.000
```

Summary:
symmetry = No. 123
density of states at the Fermi level = 0.57 states/eV per atom
energy of formation = -497 meV per atom
total energy = -15.72 eV for the cell shown
ρ = 8157 kg/m³
crystal system = tetragonal

# AlGa8

A geometry-optimized AlGa8 structure (GGA-PBE, Alexandria via LeMat-Bulk). Values from VASP.

Geometry as Quantum ESPRESSO input:
```
&SYSTEM
  ibrav = 0, nat = 9, ntyp = 2
/
ATOMIC_SPECIES
Ga 69.72 Ga.upf
Al 26.98 Al.upf
CELL_PARAMETERS angstrom
2.844 0.443 0.229
3.152 7.870 1.056
-0.800 0.846 8.054
ATOMIC_POSITIONS crystal
Ga 0.446 0.019 0.326
Ga 0.466 0.350 0.356
Ga 0.454 0.691 0.297
Ga 0.010 0.329 0.024
Ga 0.534 0.650 0.644
Ga 0.546 0.309 0.703
Ga 0.990 0.671 0.976
Ga 0.554 0.981 0.674
Al 0.000 0.000 0.000
```

Summary:
symmetry = No. 2
energy above the lowest structure with this stoichiometry = 0.0 meV per atom
density of states at the Fermi level = 0.24 states/eV per atom
energy of formation = 23 meV per atom
total energy = -27.75 eV for the cell shown
ρ = 5775 kg/m³
crystal system = triclinic